1.
Ca4CdIn2: optimized geometry, PBE.

Results
ΔE to the lowest computed polymorph ... 0 meV/atom
Spin magnetization ... 0.00 μB/f.u.
DOS at the Fermi energy ... 7.7 states/eV/f.u.
Uncorrected energy ... -16.8 eV per cell
ΔE_f ... -33 kJ per mole of atoms

Structure (POSCAR):
```
Ca4CdIn2
1.0
0.484 -1.160 5.259
-1.431 -4.880 1.835
7.941 -4.965 0.954
In Cd Ca
2 1 4
Cartesian
5.298 -8.272 6.027
1.696 -2.733 2.021
0.000 0.000 0.000
4.813 -3.847 1.488
6.553 -6.595 3.502
0.441 -4.410 4.546
2.181 -7.158 6.559
```

***

2.
Sr2LaZnH: optimized geometry, PBE.

Results
Spin magnetization ... 0.91 μB/f.u.
DOS at the Fermi energy ... 5.9 states/eV/f.u.
Uncorrected energy ... -13.2 eV per cell

Structure (POSCAR):
```
Sr2LaZnH
1.0
5.288 0.000 0.000
0.000 5.288 0.000
0.000 0.000 5.120
Sr La Zn H
2 1 1 1
Cartesian
0.000 2.644 0.000
2.644 0.000 0.000
0.000 0.000 2.560
2.644 2.644 2.560
0.000 0.000 0.000
```

***

3.
Li2FeNi: optimized geometry, PBE.

Results
Spin magnetization ... 2.97 μB/f.u.
DOS at the Fermi energy ... 4.0 states/eV/f.u.
Uncorrected energy ... -16.7 eV per cell
ΔE_f ... 34 kJ per mole of atoms

Structure (POSCAR):
```
Li2FeNi
1.0
0.000 2.871 2.871
2.871 0.000 2.871
2.871 2.871 0.000
Fe Li Ni
1 2 1
Cartesian
0.000 0.000 0.000
1.436 1.436 1.436
4.307 4.307 4.307
2.871 2.871 2.871
```

***

4.
TbNdCdIr: optimized geometry, PBE.

Results
Spin magnetization ... 0.00 μB/f.u.
DOS at the Fermi energy ... 2.6 states/eV/f.u.
Uncorrected energy ... -21.0 eV per cell
ΔE_f ... -45 kJ per mole of atoms

Structure (POSCAR):
```
TbNdCdIr
1.0
-1.931 1.028 4.646
2.180 -2.015 4.189
2.592 3.016 3.248
Cd Tb Nd Ir
1 1 1 1
Cartesian
2.131 1.521 9.062
1.421 1.014 6.042
0.000 0.000 0.000
0.710 0.507 3.021
```